DFT (PBE+U) results for a relaxed structure of Cs5Cr2O6.

The space group is C2/c (No. 15) and the conventional cell measures 11.4614, 7.4081 and 15.6068 Å, with angles of 90.00, 100.03 and 90.00 degrees. Symmetry generates all atoms from Cs at (0.0000, 0.0894, 0.2500), Cs at (0.0676, 0.2383, 0.9946), Cs at (0.1536, 0.4479, 0.7092), Cr at (0.2259, 0.3528, 0.4258), O at (0.0800, 0.4158, 0.3741), O at (0.1648, 0.0698, 0.6355) and O at (0.2377, 0.0980, 0.4526).

As for the total energy: -5.236 eV per atom.